Here is a relaxed structure of Th3In5 from Alexandria via LeMat-Bulk. Energies are from PBE.

Results
* symmetry: Cmcm (63)
* calculated volume: 27.88 A^3/atom
* excess energy over the best structure of this formula in the dataset: 0.000 eV per atom
* magnetic moment: 0.000 μB/f.u.

a = 6.6148 Å, b = 6.6148 Å, c = 10.4222 Å
α = 90.00°, β = 90.00°, γ = 77.96°
Last column: nearest neighbours and their distance in Å.
Positions (direct):
1 Th 0.1236 0.8764 0.7500  7 In 3.18-3.39
2 Th 0.2911 0.2911 0.0000  10 In 3.28-3.50
3 Th 0.2911 0.2911 0.5000  10 In 3.28-3.50
4 Th 0.7089 0.7089 0.0000  10 In 3.28-3.50
5 Th 0.7089 0.7089 0.5000  10 In 3.28-3.50
6 Th 0.8764 0.1236 0.2500  7 In 3.18-3.39
7 In 0.0075 0.5704 0.2500  3 In 3.02-3.13, 3 Th 3.25-3.28
8 In 0.1968 0.8032 0.0492  3 In 3.02-3.21, 3 Th 3.18-3.35
9 In 0.1968 0.8032 0.4508  3 In 3.02-3.21, 3 Th 3.18-3.35
10 In 0.4296 0.9925 0.2500  3 In 3.02-3.13, 3 Th 3.25-3.28
11 In 0.4897 0.5103 0.2500  4 In 3.13-3.21, 5 Th 3.22-3.38
12 In 0.5103 0.4897 0.7500  4 In 3.13-3.21, 5 Th 3.22-3.38
13 In 0.5704 0.0075 0.7500  3 In 3.02-3.13, 3 Th 3.25-3.28
14 In 0.8032 0.1968 0.5492  3 In 3.02-3.21, 3 Th 3.18-3.35
15 In 0.8032 0.1968 0.9508  3 In 3.02-3.21, 3 Th 3.18-3.35
16 In 0.9925 0.4296 0.7500  3 In 3.02-3.13, 3 Th 3.25-3.28